No. 1
Computed, not measured: an optimized crystal structure of Sm5Dy4Cd at the PBE-GGA level of DFT.

## Properties
- size of the total moment (Bohr magnetons per cell) = 0.000
- formation energy from the elements (eV per atom) = -0.047
- total DFT energy (no corrections) (eV per atom) = -4.339
- crystal system = tetragonal

```
data_Sm5Dy4Cd
_chemical_formula_sum 'Sm5 Dy4 Cd1'
_cell_length_a 3.606
_cell_length_b 3.606
_cell_length_c 24.349
_cell_angle_alpha 90.00
_cell_angle_beta 90.00
_cell_angle_gamma 90.00
_symmetry_space_group_name_H-M 'P 1'
_symmetry_Int_Tables_number 1
loop_
_symmetry_equiv_pos_as_xyz
'x,y,z'
loop_
_atom_site_label
_atom_site_type_symbol
_atom_site_fract_x
_atom_site_fract_y
_atom_site_fract_z
_atom_site_occupancy
Sm1 Sm 0.000 0.000 0.000 1
Sm2 Sm 0.000 0.000 0.207 1
Sm3 Sm 0.000 0.000 0.413 1
Sm4 Sm 0.000 0.000 0.587 1
Sm5 Sm 0.000 0.000 0.793 1
Dy1 Dy 0.500 0.500 0.103 1
Dy2 Dy 0.500 0.500 0.310 1
Dy3 Dy 0.500 0.500 0.690 1
Dy4 Dy 0.500 0.500 0.897 1
Cd1 Cd 0.500 0.500 0.500 1
```

=====

No. 2
Computed, not measured: an optimized crystal structure of Sm4DyCd3 at the PBE-GGA level of DFT.

## Properties
- size of the total moment (Bohr magnetons per cell) = 0.012
- formation energy from the elements (eV per atom) = -0.185
- total DFT energy (no corrections) (eV per atom) = -3.463
- crystal system = orthorhombic

```
data_Sm4DyCd3
_chemical_formula_sum 'Sm4 Dy1 Cd3'
_cell_length_a 3.780
_cell_length_b 5.488
_cell_length_c 11.115
_cell_angle_alpha 90.00
_cell_angle_beta 90.00
_cell_angle_gamma 90.00
_symmetry_space_group_name_H-M 'P 1'
_symmetry_Int_Tables_number 1
loop_
_symmetry_equiv_pos_as_xyz
'x,y,z'
loop_
_atom_site_label
_atom_site_type_symbol
_atom_site_fract_x
_atom_site_fract_y
_atom_site_fract_z
_atom_site_occupancy
Sm1 Sm 0.000 0.000 0.000 1
Sm2 Sm 0.000 0.000 0.500 1
Sm3 Sm 0.000 0.500 0.238 1
Sm4 Sm 0.000 0.500 0.762 1
Dy1 Dy 0.500 0.500 0.500 1
Cd1 Cd 0.500 0.000 0.253 1
Cd2 Cd 0.500 0.000 0.747 1
Cd3 Cd 0.500 0.500 0.000 1
```

=====

No. 3
Computed, not measured: an optimized crystal structure of Sm4Dy3Cd4 at the PBE-GGA level of DFT.

## Properties
- size of the total moment (Bohr magnetons per cell) = 0.000
- formation energy from the elements (eV per atom) = -0.075
- total DFT energy (no corrections) (eV per atom) = -3.379
- crystal system = orthorhombic

```
data_Sm4Dy3Cd4
_chemical_formula_sum 'Sm4 Dy3 Cd4'
_cell_length_a 9.858
_cell_length_b 9.858
_cell_length_c 9.858
_cell_angle_alpha 148.58
_cell_angle_beta 139.03
_cell_angle_gamma 52.53
_symmetry_space_group_name_H-M 'P 1'
_symmetry_Int_Tables_number 1
loop_
_symmetry_equiv_pos_as_xyz
'x,y,z'
loop_
_atom_site_label
_atom_site_type_symbol
_atom_site_fract_x
_atom_site_fract_y
_atom_site_fract_z
_atom_site_occupancy
Sm1 Sm 0.057 0.819 0.239 1
Sm2 Sm 0.420 0.181 0.239 1
Sm3 Sm 0.580 0.819 0.761 1
Sm4 Sm 0.943 0.181 0.761 1
Dy1 Dy 0.000 0.500 0.500 1
Dy2 Dy 0.402 0.402 0.000 1
Dy3 Dy 0.598 0.598 0.000 1
Cd1 Cd 0.169 0.669 0.500 1
Cd2 Cd 0.288 0.000 0.288 1
Cd3 Cd 0.712 0.000 0.712 1
Cd4 Cd 0.831 0.331 0.500 1
```

=====

No. 4
Computed, not measured: an optimized crystal structure of Sm5Dy3Cd at the PBE-GGA level of DFT.

## Properties
- size of the total moment (Bohr magnetons per cell) = 0.000
- formation energy from the elements (eV per atom) = 0.418
- total DFT energy (no corrections) (eV per atom) = -3.839
- crystal system = monoclinic

```
data_Sm5Dy3Cd
_chemical_formula_sum 'Sm10 Dy6 Cd2'
_cell_length_a 9.453
_cell_length_b 9.453
_cell_length_c 9.615
_cell_angle_alpha 119.34
_cell_angle_beta 119.34
_cell_angle_gamma 75.91
_symmetry_space_group_name_H-M 'P 1'
_symmetry_Int_Tables_number 1
loop_
_symmetry_equiv_pos_as_xyz
'x,y,z'
loop_
_atom_site_label
_atom_site_type_symbol
_atom_site_fract_x
_atom_site_fract_y
_atom_site_fract_z
_atom_site_occupancy
Sm1 Sm 0.085 0.601 0.262 1
Sm2 Sm 0.231 0.231 0.265 1
Sm3 Sm 0.244 0.756 0.000 1
Sm4 Sm 0.279 0.279 0.970 1
Sm5 Sm 0.399 0.915 0.738 1
Sm6 Sm 0.601 0.085 0.262 1
Sm7 Sm 0.721 0.721 0.030 1
Sm8 Sm 0.756 0.244 0.000 1
Sm9 Sm 0.769 0.769 0.735 1
Sm10 Sm 0.915 0.399 0.738 1
Dy1 Dy 0.000 0.000 0.500 1
Dy2 Dy 0.015 0.015 0.833 1
Dy3 Dy 0.485 0.485 0.649 1
Dy4 Dy 0.500 0.500 0.000 1
Dy5 Dy 0.515 0.515 0.351 1
Dy6 Dy 0.985 0.985 0.167 1
Cd1 Cd 0.251 0.251 0.614 1
Cd2 Cd 0.749 0.749 0.386 1
```